Material: DyY2AgN
Method: DFT, GGA-PBE
State: relaxed

abc: 4.8002 4.8002 4.8046
angles: 90.00 90.00 90.00
With the nearest neighbours (Å) after each atom.
Space group P4/mmm (No. 123)
Inequivalent atoms, fractional coordinates:
Dy1 0.0000 0.0000 0.0000 [1 per cell]  2 N 2.40
Y1 0.0000 0.5000 0.5000 [2 per cell]  2 N 2.40
Ag1 0.5000 0.5000 0.0000 [1 per cell]  4 Dy 3.39, 8 Y 3.40
N1 0.0000 0.0000 0.5000 [1 per cell]  4 Y 2.40, 2 Dy 2.40

As for the spin magnetization: 0.00 Bohr magnetons per cell. The calculation puts the formation energy without anion corrections at -0.745 eV per atom. The density of states at the Fermi level is 7.051 states/eV per cell.